12
Lattice="4.321 -0.002 0.017 2.158 6.475 0.009 -0.024 0.000 6.101" Properties=species:S:1:pos:R:3 comment="V3Mo2Ru | Alexandria via LeMat-Bulk | PBE-GGA | relaxed" magnetic_moment_mub_per_fu=0.0 polymorph_energy_mev_per_atom=0 pbc="T T T"
Mo -0.012 0.000 3.050
Mo 4.307 4.306 3.067
Mo 2.147 2.167 3.059
Mo 0.000 0.000 0.000
V 4.314 2.161 1.545
V 2.143 -0.001 4.587
V 2.141 4.312 4.582
V 2.154 -0.001 1.530
V 2.152 4.312 1.536
V 4.302 2.161 4.590
Ru 2.159 2.172 0.009
Ru 4.319 4.302 0.017


8
Lattice="-5.052 -3.504 -3.470 -1.775 -3.343 5.960 -5.082 -1.561 1.793" Properties=species:S:1:pos:R:3 comment="VMo2Ru | Alexandria via LeMat-Bulk | PBE-GGA | relaxed" magnetic_moment_mub_per_fu=0.0 polymorph_energy_mev_per_atom=639 pbc="T T T"
Ru -6.774 -4.244 -0.217
Ru 0.000 0.000 0.000
Mo -4.687 -3.024 -1.001
Mo -2.974 -2.892 3.764
Mo -9.798 -7.186 3.566
Mo -6.359 -3.714 2.234
V -5.135 -4.164 4.498
V -3.414 -3.424 1.245


9
Lattice="-1.440 -2.260 -0.228 2.765 0.175 1.263 -9.246 3.223 16.106" Properties=species:S:1:pos:R:3 comment="V6Mo2Ru | Alexandria via LeMat-Bulk | PBE-GGA | relaxed" magnetic_moment_mub_per_fu=0.0 polymorph_energy_mev_per_atom=0 pbc="T T T"
Mo -2.637 0.054 5.741
Mo -6.665 1.078 10.753
V -8.413 1.813 14.473
V -4.382 0.787 9.465
V -2.155 0.521 8.291
V -6.190 1.546 13.313
V -0.888 -0.683 2.021
V -0.347 -0.240 4.444
Ru 1.355 -0.959 0.826


8
Lattice="2.987 0.000 -0.627 -0.202 4.218 -0.961 0.332 -0.154 9.012" Properties=species:S:1:pos:R:3 comment="V3Mo2Ru3 | Alexandria via LeMat-Bulk | PBE-GGA | relaxed" magnetic_moment_mub_per_fu=0.0 pbc="T T T"
Mo 2.336 0.955 3.702
Mo 0.781 3.108 3.722
V -0.101 2.109 -0.480
V 0.429 0.486 2.042
V 2.689 3.578 5.382
Ru 1.494 0.000 -0.313
Ru 1.315 1.490 6.266
Ru 1.803 2.573 1.159


| no. | raw total energy (Ry per atom) | V (A^3/atom) |
| --- | --- | --- |
| 1 | -0.731 | 14.2 |
| 2 | -0.691 | 15.9 |
| 3 | -0.707 | 14.0 |
| 4 | -0.717 | 14.2 |